(1)
# Ba3BiO2 (GGA-PBE, relaxed)
# Formation energy from raw total energies in eV/atom: -1.813
data_Ba3BiO2
_chemical_formula_sum 'Ba12 Bi4 O8'
_cell_length_a 11.2345
_cell_length_b 11.5123
_cell_length_c 6.4790
_cell_angle_alpha 90.00
_cell_angle_beta 90.00
_cell_angle_gamma 90.00
_symmetry_space_group_name_H-M 'C m c m'
_symmetry_Int_Tables_number 63
_symmetry_space_group_name_Hall '-C 2c 2'
loop_
_atom_site_label
_atom_site_fract_x
_atom_site_fract_y
_atom_site_fract_z
Ba1 0.0000 0.0997 0.2500
Ba2 0.2305 0.3929 0.2500
Bi1 0.0000 0.3568 0.7500
O1 0.1491 0.0000 0.0000

=====

(2)
# RbMoSe3 (GGA-PBE, relaxed)
# Formation energy from raw total energies in eV/atom: -0.551
data_RbMoSe3
_chemical_formula_sum 'Rb4 Mo4 Se12'
_cell_length_a 9.3605
_cell_length_b 6.3837
_cell_length_c 9.0560
_cell_angle_alpha 90.00
_cell_angle_beta 100.20
_cell_angle_gamma 90.00
_symmetry_space_group_name_H-M 'P 1 21/c 1'
_symmetry_Int_Tables_number 14
loop_
_symmetry_equiv_pos_as_xyz
'x,y,z'
'-x,-y,-z'
'-x,y+1/2,-z+1/2'
'x,-y+1/2,z+1/2'
loop_
_atom_site_label
_atom_site_fract_x
_atom_site_fract_y
_atom_site_fract_z
Rb1 0.1044 0.0815 0.2136
Mo1 0.4466 0.7044 0.5493
Se1 0.2081 0.6116 0.1002
Se2 0.2963 0.0558 0.9071
Se3 0.4628 0.5792 0.8310

=====

(3)
# CdCu3Cl6 (GGA-PBE, relaxed)
# Formation energy from raw total energies in eV/atom: -0.603
data_CdCu3Cl6
_chemical_formula_sum 'Cd3 Cu9 Cl18'
_cell_length_a 6.3835
_cell_length_b 6.3835
_cell_length_c 17.6937
_cell_angle_alpha 90.00
_cell_angle_beta 90.00
_cell_angle_gamma 120.00
_symmetry_space_group_name_H-M 'R 3'
_symmetry_Int_Tables_number 146
_symmetry_space_group_name_Hall 'R 3'
loop_
_atom_site_label
_atom_site_fract_x
_atom_site_fract_y
_atom_site_fract_z
Cd1 0.0000 0.0000 0.0000
Cu1 0.0000 0.0000 0.3096
Cu2 0.0000 0.0000 0.5590
Cu3 0.0000 0.0000 0.7977
Cl1 0.0050 0.6480 0.5596
Cl2 0.0070 0.3701 0.0590

=====

(4)
# AgBPd5 (GGA-PBE, relaxed)
# ΔE_f in eV/atom: -0.035
data_AgBPd5
_chemical_formula_sum 'Ag1 B1 Pd5'
_cell_length_a 3.8549
_cell_length_b 3.8549
_cell_length_c 6.9107
_cell_angle_alpha 90.00
_cell_angle_beta 90.00
_cell_angle_gamma 90.00
_symmetry_space_group_name_H-M 'P 4/m m m'
_symmetry_Int_Tables_number 123
_symmetry_space_group_name_Hall '-P 4 2'
loop_
_atom_site_label
_atom_site_fract_x
_atom_site_fract_y
_atom_site_fract_z
Ag1 0.0000 0.0000 0.0000
B1 0.5000 0.5000 0.5000
Pd1 0.0000 0.5000 0.3093
Pd2 0.5000 0.5000 0.0000

=====

- Which formula does entry 2 have?
  RbMoSe3